Material: Tm2CoIr
Method: DFT, GGA-PBE
State: optimized geometry

a = 3.318 Å, b = 4.750 Å, c = 4.750 Å
α = 90.00°, β = 90.00°, γ = 90.00°
Site moments in Bohr magnetons follow the coordinates.
Positions (direct):
1 Ir 0.500 0.000 0.000  0.05
2 Co 0.500 0.500 0.500  0.74
3 Tm 0.000 0.500 0.000  -0.15
4 Tm 0.000 0.000 0.500  -0.15

Results
The energy relative to the elements comes out at -225 kJ/mol of formula units. Its size of the total moment is 0.45 μB/cell. Its space group is No. 123. The energy above the most stable polymorph in this dataset comes out at 0.018 eV per atom. The total energy comes out at -27.25 eV per cell.